1.
Here is Ga2PdPt after structural relaxation from Alexandria via LeMat-Bulk. Energies are from PBE. Values from VASP.

Geometry as Quantum ESPRESSO input:
```
&SYSTEM
  ibrav = 0, nat = 4, ntyp = 3
/
ATOMIC_SPECIES
Ga 69.72 Ga.upf
Pd 106.42 Pd.upf
Pt 195.08 Pt.upf
CELL_PARAMETERS angstrom
-2.6825 -0.4512 2.9420
-1.6735 -3.5815 0.6534
2.1560 -2.4613 4.3170
ATOMIC_POSITIONS angstrom
Ga 1.3279 -2.2049 3.6012
Ga -0.6560 -1.5907 1.8865
Pd -0.9532 -3.2924 4.0831
Pt -0.8627 -5.1142 6.6148
```

Properties
The space group is R3m (160). The crystal system is trigonal. The calculation puts the mass density at 10.75 Mg/m³. For the formation energy, the calculation gives -532 meV per atom.



2.
Here is Ho2HfAu6 after structural relaxation from Alexandria via LeMat-Bulk. Energies are from PBE. Values from VASP.

Geometry as Quantum ESPRESSO input:
```
&SYSTEM
  ibrav = 0, nat = 18, ntyp = 3
/
ATOMIC_SPECIES
Ho 164.93 Ho.upf
Hf 178.49 Hf.upf
Au 196.97 Au.upf
CELL_PARAMETERS angstrom
5.1188 0.1872 0.5815
0.7579 8.3739 2.2238
0.3421 -0.3277 8.6843
ATOMIC_POSITIONS angstrom
Ho 2.8261 4.3671 8.3024
Ho 0.7311 1.6330 4.4850
Ho 3.3927 3.8662 3.1872
Ho 5.4877 6.6003 7.0046
Hf 1.6726 0.7815 8.0409
Hf 4.5462 7.4518 3.4487
Au 3.1243 5.7935 5.4773
Au 0.6505 4.7616 3.9283
Au 3.0945 2.4399 6.0123
Au 5.5683 3.4717 7.5613
Au 3.4717 0.7465 3.5586
Au 5.2002 5.3536 9.8751
Au 2.7471 7.4868 7.9310
Au 1.0187 2.8797 1.6145
Au 2.1693 6.5545 1.9972
Au 1.8085 8.2480 4.2549
Au 4.0496 1.6788 9.4924
Au 4.4103 -0.0147 7.2347
```

Properties
The space group is C2/c (15). The crystal system is monoclinic. The calculation puts the mass density at 15.05 Mg/m³. For the formation energy, the calculation gives -651 meV per atom.



3.
Here is TaRe2SiF after structural relaxation from Alexandria via LeMat-Bulk. Energies are from PBE. Values from VASP.

Geometry as Quantum ESPRESSO input:
```
&SYSTEM
  ibrav = 0, nat = 5, ntyp = 4
/
ATOMIC_SPECIES
Re 186.21 Re.upf
Si 28.09 Si.upf
F 19.00 F.upf
Ta 180.95 Ta.upf
CELL_PARAMETERS angstrom
4.1440 0.0000 0.0000
0.0000 4.3098 0.0000
0.0000 0.0000 4.1440
ATOMIC_POSITIONS angstrom
Re 0.0000 0.0000 2.0720
Re 2.0720 0.0000 0.0000
Si 0.0000 2.1549 0.0000
F 0.0000 0.0000 0.0000
Ta 2.0720 2.1549 2.0720
```

Properties
The space group is P4/mmm (123). The crystal system is tetragonal. The calculation puts the mass density at 13.47 Mg/m³. The formation energy (no corrections) is 813 meV/atom.



4.
Here is NdHo3C2 after structural relaxation from Alexandria via LeMat-Bulk. Energies are from PBE. Values from VASP.

Geometry as Quantum ESPRESSO input:
```
&SYSTEM
  ibrav = 0, nat = 12, ntyp = 3
/
ATOMIC_SPECIES
Nd 144.24 Nd.upf
Ho 164.93 Ho.upf
C 12.01 C.upf
CELL_PARAMETERS angstrom
11.7214 3.2752 4.9145
7.8048 9.3383 4.9144
4.2721 2.7598 5.4998
ATOMIC_POSITIONS angstrom
Nd 5.8917 3.8059 3.8158
Nd 17.9067 11.5674 11.5129
Ho 12.1797 10.0334 9.0866
Ho 14.1537 6.9775 9.0867
Ho 8.2807 5.3492 6.6533
Ho 9.6447 8.3958 6.2420
Ho 11.6187 5.3399 6.2420
Ho 15.5177 10.0241 8.6754
C 0.0000 0.0000 0.0000
C 5.8607 1.6376 2.4572
C 9.7631 6.3068 4.9144
C 3.9024 4.6692 2.4572
```

Properties
The space group is R-3m (166). The crystal system is trigonal. The calculation puts the mass density at 7.84 Mg/m³. For the formation energy, the calculation gives -238 meV per atom.



5.
Here is Co20B6Mo3 after structural relaxation from Alexandria via LeMat-Bulk. Energies are from PBE. Values from VASP.

Geometry as Quantum ESPRESSO input:
```
&SYSTEM
  ibrav = 0, nat = 29, ntyp = 3
/
ATOMIC_SPECIES
Co 58.93 Co.upf
B 10.81 B.upf
Mo 95.94 Mo.upf
CELL_PARAMETERS angstrom
-6.2472 -3.6241 -1.6695
-0.9050 -7.0263 2.1822
-4.8819 -1.6241 5.3366
ATOMIC_POSITIONS angstrom
Co -6.9012 -5.4555 4.7532
Co -4.4885 -5.8751 4.4027
Co -4.1161 -2.3878 -1.1000
Co -4.4248 -4.7847 -0.3556
Co -3.2165 -1.0701 3.5161
Co -5.0243 -8.0051 3.2644
Co -3.5252 -3.4669 4.2605
Co -5.7815 -2.9419 0.7205
Co -0.5963 -4.6294 1.4378
Co -1.6654 -0.5540 1.8205
Co -5.3476 -2.3064 2.9466
Co -0.3087 -2.3969 0.7444
Co -2.7274 -5.8657 0.8683
Co -2.1311 -1.2363 -0.5695
Co -4.5971 -4.6890 2.2345
Co -5.1329 -6.8190 1.0961
Co -7.4370 -7.5855 3.6148
Co -7.0098 -4.2694 2.5849
Co -7.5456 -6.3994 1.4465
Co -2.2616 -5.1834 3.2582
B -5.9128 -7.2759 5.0061
B -6.1213 -4.9986 0.8431
B -5.5027 -4.0924 4.0174
B -8.3332 -5.7345 3.2610
B -3.7009 -6.5401 2.5882
B -6.5314 -8.1821 1.8318
Mo -9.0256 -9.2059 4.3870
Mo -3.0085 -3.0686 1.4623
Mo 0.0000 0.0000 0.0000
```

Properties
The space group is Fm-3m (225). The crystal system is cubic. The calculation puts the mass density at 8.83 Mg/m³. For the formation energy, the calculation gives -214 meV per atom.



6.
Here is CsSnPb2 after structural relaxation from Alexandria via LeMat-Bulk. Energies are from PBE. Values from VASP.

Geometry as Quantum ESPRESSO input:
```
&SYSTEM
  ibrav = 0, nat = 4, ntyp = 3
/
ATOMIC_SPECIES
Pb 207.20 Pb.upf
Cs 132.91 Cs.upf
Sn 118.71 Sn.upf
CELL_PARAMETERS angstrom
-3.7935 3.0471 1.9912
-1.0036 -0.0859 5.1600
3.1081 6.1925 3.3859
ATOMIC_POSITIONS angstrom
Pb -0.9800 1.6716 2.5155
Pb -0.7090 7.4821 8.0215
Cs -0.8445 4.5768 5.2685
Sn 0.0000 0.0000 0.0000
```

Properties
The space group is R-3m (166). The crystal system is trigonal. The calculation puts the mass density at 6.52 Mg/m³. For the formation energy, the calculation gives -57 meV per atom.



7.
Here is KAlRhN2 after structural relaxation from Alexandria via LeMat-Bulk. Energies are from PBE. Values from VASP.

Geometry as Quantum ESPRESSO input:
```
&SYSTEM
  ibrav = 0, nat = 5, ntyp = 4
/
ATOMIC_SPECIES
K 39.10 K.upf
Rh 102.91 Rh.upf
Al 26.98 Al.upf
N 14.01 N.upf
CELL_PARAMETERS angstrom
4.2259 0.0000 0.0000
0.0000 4.7187 0.0000
0.0000 0.0000 4.2259
ATOMIC_POSITIONS angstrom
K 2.1129 2.3593 2.1129
Rh 0.0000 0.0000 0.0000
Al 0.0000 2.3593 0.0000
N 0.0000 0.0000 2.1129
N 2.1129 0.0000 0.0000
```

Properties
The space group is P4/mmm (123). The crystal system is tetragonal. The calculation puts the mass density at 3.88 Mg/m³. The formation energy (no corrections) is 1066 meV/atom.



8.
Here is ZrReSe2 after structural relaxation from Alexandria via LeMat-Bulk. Energies are from PBE. Values from VASP.

Geometry as Quantum ESPRESSO input:
```
&SYSTEM
  ibrav = 0, nat = 4, ntyp = 3
/
ATOMIC_SPECIES
Re 186.21 Re.upf
Se 78.96 Se.upf
Zr 91.22 Zr.upf
CELL_PARAMETERS angstrom
-0.4902 -3.7636 -3.0625
-0.6945 -4.8266 0.0684
-4.8278 -0.5100 -0.4882
ATOMIC_POSITIONS angstrom
Re -4.9545 -6.8535 -2.6504
Se -4.4657 -0.6044 -0.4966
Se -1.6033 -2.2251 -0.8602
Zr -2.8230 -4.4774 -1.7045
```

Properties
The space group is Cm (8). The crystal system is monoclinic. The calculation puts the mass density at 10.09 Mg/m³. The formation energy (no corrections) is -246 meV/atom.



mass density of number 2 (Ho2HfAu6)?
15.05 Mg/m³